Density functional theory data (meta-GGA SCAN) for TiCr2Si6 at its PBEsol-relaxed geometry.

CIF file:
```
data_TiCr2Si6
_chemical_formula_sum 'Ti1 Cr2 Si6'
_symmetry_space_group_name_H-M 'P 1'
_symmetry_Int_Tables_number 1
_cell_length_a 4.500
_cell_length_b 4.500
_cell_length_c 6.297
_cell_angle_alpha 90.00
_cell_angle_beta 90.00
_cell_angle_gamma 119.53
loop_
_symmetry_equiv_pos_as_xyz
'x,y,z'
loop_
_atom_site_label
_atom_site_fract_x
_atom_site_fract_y
_atom_site_fract_z
Ti1 0.000 0.000 0.000
Cr1 0.000 0.500 0.666
Cr2 0.500 0.000 0.334
Si1 0.170 0.341 0.337
Si2 0.338 0.662 0.000
Si3 0.341 0.170 0.663
Si4 0.659 0.830 0.663
Si5 0.662 0.338 0.000
Si6 0.830 0.659 0.337
```

Its symmetry is C222, No. 21. The crystal system is orthorhombic. The value obtained for the formation energy from raw total energies is -32.0 kJ/mol of atoms. Its energy is -12.88 eV/atom. The calculated volume is 110.95 Å³/cell. Its density of states at the Fermi level is 0.364 states/eV per atom.